No. 1
Computed, not measured: a relaxed structure of Ac2TbErS6 at the PBE-GGA level of DFT.

The space group is R3 (No. 146, hexagonal axes) and the conventional cell measures 7.2580, 7.2580 and 18.4792 Å, with angles of 90.00, 90.00 and 120.00 degrees. Symmetry generates all atoms from Ac at (0.0000, 0.0000, 0.0000), Ac at (0.0000, 0.0000, 0.4997), Tb at (0.0000, 0.0000, 0.2846), Er at (0.0000, 0.0000, 0.7853), S at (0.0178, 0.6182, 0.0479) and S at (0.0224, 0.4014, 0.5470).

As for the calculated total energy: -189.876 eV/cell. The value obtained for the total magnetization is 0.0 μB/f.u. The calculation puts the uncorrected formation energy at -2.112 eV/atom. For the density of states at the Fermi level, the calculation gives 0.000 states/eV/f.u.


No. 2
Computed, not measured: a relaxed structure of AcTbEr2S6 at the PBE-GGA level of DFT.

The space group is R3 (No. 146, hexagonal axes) and the conventional cell measures 7.0571, 7.0571 and 18.4931 Å, with angles of 90.00, 90.00 and 120.00 degrees. Symmetry generates all atoms from Ac at (0.0000, 0.0000, 0.0000), Tb at (0.0000, 0.0000, 0.4857), Er at (0.0000, 0.0000, 0.2817), Er at (0.0000, 0.0000, 0.7884), S at (0.0129, 0.3118, 0.8809) and S at (0.0234, 0.6165, 0.0484).

As for the calculated total energy: -190.251 eV/cell. The value obtained for the total magnetization is 0.0 μB/f.u. The calculation puts the uncorrected formation energy at -2.079 eV/atom. For the density of states at the Fermi level, the calculation gives 0.000 states/eV/f.u.


No. 3
Computed, not measured: a relaxed structure of Ac2ErTe2S2 at the PBE-GGA level of DFT.

The space group is I4/mmm (No. 139) and the conventional cell measures 5.075, 5.075 and 16.822 Å, with angles of 90.00, 90.00 and 90.00 degrees. Symmetry generates all atoms from Ac at (0.000, 0.000, 0.122), Er at (0.000, 0.000, 0.500), Te at (0.000, 0.000, 0.320) and S at (0.000, 0.500, 0.000).

As for the calculated total energy: -78.861 eV/cell. The value obtained for the total magnetization is 0.0 μB/f.u. The calculation puts the uncorrected formation energy at -1.730 eV/atom. For the density of states at the Fermi level, the calculation gives 2.641 states/eV/f.u.


No. 4
Computed, not measured: a relaxed structure of AcEr2ThS4 at the PBE-GGA level of DFT.

The space group is P2/m (No. 10) and the conventional cell measures 6.854, 3.940 and 7.166 Å, with angles of 90.00, 108.54 and 90.00 degrees. Symmetry generates all atoms from Ac at (0.000, 0.000, 0.000), Er at (0.000, 0.500, 0.500), Er at (0.500, 0.000, 0.500), Th at (0.500, 0.500, 0.000), S at (0.249, 0.000, 0.726) and S at (0.266, 0.500, 0.280).

As for the calculated total energy: -52.449 eV/cell. The value obtained for the total magnetization is 0.0 μB/f.u. The calculation puts the uncorrected formation energy at -1.911 eV/atom. For the density of states at the Fermi level, the calculation gives 3.255 states/eV/f.u.


No. 5
Computed, not measured: a relaxed structure of Ac2ErTiS6 at the PBE-GGA level of DFT.

The space group is C2/m (No. 12) and the conventional cell measures 11.982, 6.937 and 7.106 Å, with angles of 90.00, 124.39 and 90.00 degrees. Symmetry generates all atoms from Ac at (0.245, 0.000, 0.221), Er at (0.000, 0.000, 0.500), Ti at (0.000, 0.500, 0.000), S at (0.060, 0.256, 0.820) and S at (0.238, 0.500, 0.344).

As for the calculated total energy: -128.684 eV/cell. The value obtained for the total magnetization is 1.0 μB/f.u. The calculation puts the uncorrected formation energy at -1.890 eV/atom. For the density of states at the Fermi level, the calculation gives 4.593 states/eV/f.u.


No. 6
Computed, not measured: a relaxed structure of Ac2ErTl3S6 at the PBE-GGA level of DFT.

The space group is C2/m (No. 12) and the conventional cell measures 7.442, 12.860 and 7.857 Å, with angles of 90.00, 108.29 and 90.00 degrees. Symmetry generates all atoms from Ac at (0.000, 0.167, 0.000), Er at (0.000, 0.500, 0.000), Tl at (0.000, 0.000, 0.500), Tl at (0.000, 0.335, 0.500), S at (0.223, 0.345, 0.203) and S at (0.242, 0.500, 0.791).

As for the calculated total energy: -124.904 eV/cell. The value obtained for the total magnetization is 0.0 μB/f.u. The calculation puts the uncorrected formation energy at -1.484 eV/atom. For the density of states at the Fermi level, the calculation gives 0.000 states/eV/f.u.


No. 7
Computed, not measured: a relaxed structure of Ac3ErTl4S8 at the PBE-GGA level of DFT.

The space group is R-3m (No. 166, hexagonal axes) and the conventional cell measures 8.6521, 8.6521 and 22.4063 Å, with angles of 90.00, 90.00 and 120.00 degrees. Symmetry generates all atoms from Ac at (0.0000, 0.5000, 0.0000), Er at (0.0000, 0.0000, 0.0000), Tl at (0.0000, 0.0000, 0.5000), Tl at (0.0000, 0.5000, 0.5000), S at (0.0000, 0.0000, 0.2621) and S at (0.0198, 0.5099, 0.7346).

As for the calculated total energy: -249.062 eV/cell. The value obtained for the total magnetization is 0.0 μB/f.u. The calculation puts the uncorrected formation energy at -1.478 eV/atom. For the density of states at the Fermi level, the calculation gives 0.000 states/eV/f.u.


No. 8
Computed, not measured: a relaxed structure of AcErTl2S4 at the PBE-GGA level of DFT.

The space group is P2/m (No. 10) and the conventional cell measures 7.318, 4.212 and 7.870 Å, with angles of 90.00, 107.92 and 90.00 degrees. Symmetry generates all atoms from Ac at (0.000, 0.000, 0.000), Er at (0.500, 0.500, 0.000), Tl at (0.000, 0.500, 0.500), Tl at (0.500, 0.000, 0.500), S at (0.257, 0.500, 0.206) and S at (0.286, 0.000, 0.801).

As for the calculated total energy: -41.657 eV/cell. The value obtained for the total magnetization is 0.0 μB/f.u. The calculation puts the uncorrected formation energy at -1.468 eV/atom. For the density of states at the Fermi level, the calculation gives 0.000 states/eV/f.u.


No. 9
Computed, not measured: a relaxed structure of Ac2ErTmS6 at the PBE-GGA level of DFT.

The space group is P2_1/c (No. 14) and the conventional cell measures 6.908, 7.493 and 12.209 Å, with angles of 90.00, 124.42 and 90.00 degrees. Symmetry generates all atoms from Ac at (0.220, 0.087, 0.250), Er at (0.500, 0.000, 0.000), Tm at (0.000, 0.000, 0.500), S at (0.123, 0.192, 0.938), S at (0.253, 0.691, 0.938) and S at (0.372, 0.040, 0.749).

As for the calculated total energy: -127.359 eV/cell. The value obtained for the total magnetization is 0.0 μB/f.u. The calculation puts the uncorrected formation energy at -2.166 eV/atom. For the density of states at the Fermi level, the calculation gives 0.000 states/eV/f.u.


No. 10
Computed, not measured: a relaxed structure of AcEr2TmS6 at the PBE-GGA level of DFT.

The space group is R3 (No. 146, hexagonal axes) and the conventional cell measures 7.0170, 7.0170 and 18.4774 Å, with angles of 90.00, 90.00 and 120.00 degrees. Symmetry generates all atoms from Ac at (0.0000, 0.0000, 0.0000), Er at (0.0000, 0.0000, 0.2808), Er at (0.0000, 0.0000, 0.7891), Tm at (0.0000, 0.0000, 0.4832), S at (0.0052, 0.3115, 0.8810) and S at (0.0249, 0.6169, 0.0489).

As for the calculated total energy: -189.630 eV/cell. The value obtained for the total magnetization is 0.0 μB/f.u. The calculation puts the uncorrected formation energy at -2.074 eV/atom. For the density of states at the Fermi level, the calculation gives 0.000 states/eV/f.u.


No. 11
Computed, not measured: a relaxed structure of AcEr2TmS4 at the PBE-GGA level of DFT.

The space group is P2/m (No. 10) and the conventional cell measures 6.853, 3.908 and 7.022 Å, with angles of 90.00, 108.58 and 90.00 degrees. Symmetry generates all atoms from Ac at (0.000, 0.000, 0.000), Er at (0.500, 0.000, 0.500), Er at (0.500, 0.500, 0.000), Tm at (0.000, 0.500, 0.500), S at (0.258, 0.000, 0.736) and S at (0.271, 0.500, 0.274).

As for the calculated total energy: -49.464 eV/cell. The value obtained for the total magnetization is 0.0 μB/f.u. The calculation puts the uncorrected formation energy at -1.906 eV/atom. For the density of states at the Fermi level, the calculation gives 4.513 states/eV/f.u.


No. 12
Computed, not measured: a relaxed structure of AcErTm4S8 at the PBE-GGA level of DFT.

The space group is R3m (No. 160, hexagonal axes) and the conventional cell measures 8.0723, 8.0723 and 19.8122 Å, with angles of 90.00, 90.00 and 120.00 degrees. Symmetry generates all atoms from Ac at (0.0000, 0.0000, 0.0000), Er at (0.0000, 0.0000, 0.6231), Tm at (0.0000, 0.0000, 0.2505), Tm at (0.0060, 0.5030, 0.1261), S at (0.0000, 0.0000, 0.3818), S at (0.0000, 0.0000, 0.8588), S at (0.0428, 0.5214, 0.3812) and S at (0.1745, 0.3490, 0.2061).

As for the calculated total energy: -258.859 eV/cell. The value obtained for the total magnetization is 0.0 μB/f.u. The calculation puts the uncorrected formation energy at -1.908 eV/atom. For the density of states at the Fermi level, the calculation gives 8.763 states/eV/f.u.